Entry 1:
A plane-wave DFT calculation with GGA-PBEsol was carried out for a relaxed structure of ScCr2Fe.

Calculated values
formation enthalpy at 0 K = 0.299 eV per atom
Fermi-level density of states = 4.09 states/eV/f.u.
total magnetic moment = 2.70 μB per cell
polymorph energy (0 for the lowest one) = 0.38 eV per formula unit

Geometry as CIF:
```
data_ScCr2Fe
_chemical_formula_sum 'Sc2 Cr4 Fe2'
_cell_length_a 2.987
_cell_length_b 4.262
_cell_length_c 8.079
_cell_angle_alpha 90.00
_cell_angle_beta 90.00
_cell_angle_gamma 90.00
_space_group_name_H-M_alt 'C m m 2'
_space_group_IT_number 35
loop_
_space_group_symop_operation_xyz
'x,y,z'
'-x,-y,z'
'-x,y,z'
'x,-y,z'
'x+1/2,y+1/2,z'
'-x+1/2,-y+1/2,z'
'-x+1/2,y+1/2,z'
'x+1/2,-y+1/2,z'
loop_
_atom_site_label
_atom_site_fract_x
_atom_site_fract_y
_atom_site_fract_z
Sc1 0.000 0.000 0.000
Cr1 0.000 0.000 0.505
Cr2 0.000 0.500 0.286
Fe1 0.000 0.500 0.730
```

***

Entry 2:
A plane-wave DFT calculation with GGA-PBEsol was carried out for a relaxed structure of ZnBrCl.

Calculated values
Fermi-level density of states = 0.00 states/eV/f.u.
formation energy (no corrections) = -929 meV/atom
total magnetic moment = 0.00 μB per cell

Geometry as CIF:
```
data_ZnBrCl
_chemical_formula_sum 'Zn1 Br1 Cl1'
_cell_length_a 3.6247
_cell_length_b 3.6247
_cell_length_c 6.2131
_cell_angle_alpha 90.00
_cell_angle_beta 90.00
_cell_angle_gamma 120.00
_space_group_name_H-M_alt 'P 3 m 1'
_space_group_IT_number 156
loop_
_space_group_symop_operation_xyz
'x,y,z'
'-y,x-y,z'
'-x+y,-x,z'
'-y,-x,z'
'-x+y,y,z'
'x,x-y,z'
loop_
_atom_site_label
_atom_site_fract_x
_atom_site_fract_y
_atom_site_fract_z
Zn1 0.0000 0.0000 0.0000
Br1 0.3333 0.6667 0.7590
Cl1 0.6667 0.3333 0.2140
```

***

Entry 3:
A plane-wave DFT calculation with GGA-PBEsol was carried out for a relaxed structure of Li2Mn3NiO8.

Calculated values
Fermi-level density of states = 2.49 states/eV/f.u.
formation energy (no corrections) = -1649 meV/atom
total magnetic moment = 21.90 μB per cell
polymorph energy (0 for the lowest one) = 0.63 eV per formula unit

Geometry as CIF:
```
data_Li2Mn3NiO8
_chemical_formula_sum 'Li4 Mn6 Ni2 O16'
_cell_length_a 5.6606
_cell_length_b 5.6606
_cell_length_c 9.3945
_cell_angle_alpha 90.00
_cell_angle_beta 90.00
_cell_angle_gamma 120.00
_space_group_name_H-M_alt 'P 63 m c'
_space_group_IT_number 186
_space_group_name_Hall 'P 6c -2c'
loop_
_atom_site_label
_atom_site_fract_x
_atom_site_fract_y
_atom_site_fract_z
Li1 0.0000 0.0000 0.0000
Li2 0.3333 0.6667 0.1053
Mn1 0.1686 0.3372 0.7836
Ni1 0.3333 0.6667 0.5103
O1 0.0000 0.0000 0.1867
O2 0.0366 0.5183 0.6653
O3 0.1620 0.3240 0.3921
O4 0.3333 0.6667 0.8907
```

***

Entry 4:
A plane-wave DFT calculation with GGA-PBEsol was carried out for a relaxed structure of Li15Au4.

Calculated values
formation enthalpy at 0 K = -0.321 eV per atom
Fermi-level density of states = 6.30 states/eV/f.u.
total magnetic moment = 0.00 μB per cell

Geometry as CIF:
```
data_Li15Au4
_chemical_formula_sum 'Li60 Au16'
_cell_length_a 10.666
_cell_length_b 10.666
_cell_length_c 10.666
_cell_angle_alpha 90.00
_cell_angle_beta 90.00
_cell_angle_gamma 90.00
_space_group_name_H-M_alt 'I -4 3 d'
_space_group_IT_number 220
_space_group_name_Hall 'I -4bd 2c 3'
loop_
_atom_site_label
_atom_site_fract_x
_atom_site_fract_y
_atom_site_fract_z
Li1 0.000 0.250 0.375
Li2 0.038 0.382 0.157
Au1 0.044 0.456 0.544
```

***

Entry 5:
A plane-wave DFT calculation with GGA-PBEsol was carried out for a relaxed structure of TcBi2BBr.

Calculated values
Fermi-level density of states = 4.25 states/eV/f.u.
formation energy (no corrections) = 1930 meV/atom
total magnetic moment = 2.48 μB per cell

Geometry as CIF:
```
data_TcBi2BBr
_chemical_formula_sum 'Tc1 Bi2 B1 Br1'
_cell_length_a 5.517
_cell_length_b 5.517
_cell_length_c 3.955
_cell_angle_alpha 90.00
_cell_angle_beta 90.00
_cell_angle_gamma 90.00
_space_group_name_H-M_alt 'P 4/m m m'
_space_group_IT_number 123
_space_group_name_Hall '-P 4 2'
loop_
_atom_site_label
_atom_site_fract_x
_atom_site_fract_y
_atom_site_fract_z
Tc1 0.000 0.000 0.000
Bi1 0.000 0.500 0.500
B1 0.500 0.500 0.000
Br1 0.500 0.500 0.500
```

***

Entry 6:
A plane-wave DFT calculation with GGA-PBEsol was carried out for a relaxed structure of Cs2CrCuIr.

Calculated values
formation enthalpy at 0 K = 1.482 eV per atom
Fermi-level density of states = 7.22 states/eV/f.u.
total magnetic moment = 6.73 μB per cell

Geometry as CIF:
```
data_Cs2CrCuIr
_chemical_formula_sum 'Cs2 Cr1 Cu1 Ir1'
_cell_length_a 6.317
_cell_length_b 6.317
_cell_length_c 4.624
_cell_angle_alpha 90.00
_cell_angle_beta 90.00
_cell_angle_gamma 90.00
_space_group_name_H-M_alt 'P 4/m m m'
_space_group_IT_number 123
_space_group_name_Hall '-P 4 2'
loop_
_atom_site_label
_atom_site_fract_x
_atom_site_fract_y
_atom_site_fract_z
Cs1 0.000 0.500 0.000
Cr1 0.000 0.000 0.500
Cu1 0.500 0.500 0.000
Ir1 0.500 0.500 0.500
```

***

Entry 7:
A plane-wave DFT calculation with GGA-PBEsol was carried out for a relaxed structure of Li2BrF.

Calculated values
Fermi-level density of states = 0.00 states/eV/f.u.
formation energy (no corrections) = -2191 meV/atom
total magnetic moment = 0.00 μB per cell

Geometry as CIF:
```
data_Li2BrF
_chemical_formula_sum 'Li8 Br4 F4'
_cell_length_a 5.139
_cell_length_b 5.139
_cell_length_c 9.619
_cell_angle_alpha 90.00
_cell_angle_beta 90.00
_cell_angle_gamma 90.00
_space_group_name_H-M_alt 'I -4 2 d'
_space_group_IT_number 122
_space_group_name_Hall 'I -4 2bw'
loop_
_atom_site_label
_atom_site_fract_x
_atom_site_fract_y
_atom_site_fract_z
Li1 0.143 0.250 0.125
Br1 0.000 0.000 0.500
F1 0.000 0.000 0.000
```

***

Entry 8:
A plane-wave DFT calculation with GGA-PBEsol was carried out for a relaxed structure of Ag2WCl.

Calculated values
Fermi-level density of states = 1.61 states/eV/f.u.
formation energy (no corrections) = 464 meV/atom
total magnetic moment = 0.00 μB per cell
polymorph energy (0 for the lowest one) = 0.00 eV per formula unit

Geometry as CIF:
```
data_Ag2WCl
_chemical_formula_sum 'Ag4 W2 Cl2'
_cell_length_a 4.224
_cell_length_b 2.795
_cell_length_c 11.174
_cell_angle_alpha 90.00
_cell_angle_beta 90.00
_cell_angle_gamma 90.00
_space_group_name_H-M_alt 'A m m 2'
_space_group_IT_number 38
loop_
_space_group_symop_operation_xyz
'x,y,z'
'-x,-y,z'
'-x,y,z'
'x,-y,z'
'x,y+1/2,z+1/2'
'-x,-y+1/2,z+1/2'
'-x,y+1/2,z+1/2'
'x,-y+1/2,z+1/2'
loop_
_atom_site_label
_atom_site_fract_x
_atom_site_fract_y
_atom_site_fract_z
Ag1 0.000 0.000 0.000
Ag2 0.500 0.000 0.381
W1 0.500 0.000 0.639
Cl1 0.000 0.000 0.732
```

***

Entry 9:
A plane-wave DFT calculation with GGA-PBEsol was carried out for a relaxed structure of Ba3NbSb.

Calculated values
Fermi-level density of states = 2.30 states/eV/f.u.
formation energy (no corrections) = 591 meV/atom
total magnetic moment = 5.81 μB per cell

Geometry as CIF:
```
data_Ba3NbSb
_chemical_formula_sum 'Ba3 Nb1 Sb1'
_cell_length_a 6.495
_cell_length_b 6.495
_cell_length_c 6.495
_cell_angle_alpha 90.00
_cell_angle_beta 90.00
_cell_angle_gamma 90.00
_space_group_name_H-M_alt 'P m -3 m'
_space_group_IT_number 221
_space_group_name_Hall '-P 4 2 3'
loop_
_atom_site_label
_atom_site_fract_x
_atom_site_fract_y
_atom_site_fract_z
Ba1 0.000 0.000 0.500
Nb1 0.500 0.500 0.500
Sb1 0.000 0.000 0.000
```

***

Entry 10:
A plane-wave DFT calculation with GGA-PBEsol was carried out for a relaxed structure of MnZnFe2.

Calculated values
formation enthalpy at 0 K = 0.149 eV per atom
Fermi-level density of states = 3.00 states/eV/f.u.
total magnetic moment = 28.61 μB per cell

Geometry as CIF:
```
data_MnZnFe2
_chemical_formula_sum 'Mn4 Zn4 Fe8'
_cell_length_a 5.722
_cell_length_b 5.722
_cell_length_c 5.722
_cell_angle_alpha 90.00
_cell_angle_beta 90.00
_cell_angle_gamma 90.00
_space_group_name_H-M_alt 'F -4 3 m'
_space_group_IT_number 216
_space_group_name_Hall 'F -4 2 3'
loop_
_atom_site_label
_atom_site_fract_x
_atom_site_fract_y
_atom_site_fract_z
Mn1 0.000 0.000 0.000
Zn1 0.250 0.250 0.750
Fe1 0.000 0.000 0.500
Fe2 0.250 0.250 0.250
```